Entry 1:
Density functional theory data (GGA-PBE) for Tl3Sn2 after structural relaxation.

Properties
Density of states at the Fermi level, states/eV per atom: 0.563
Calculated formation energy, meV per atom: 18
Total moment, μB/atom: 0.000
ΔE to the lowest computed polymorph, meV/atom: 0

Cell and atoms, written as CIF:
```
data_Tl3Sn2
_chemical_formula_sum 'Tl9 Sn6'
_symmetry_space_group_name_H-M 'R -3 m'
_symmetry_Int_Tables_number 166
_symmetry_space_group_name_Hall '-R 3 2"'
_cell_length_a 3.5096
_cell_length_b 3.5096
_cell_length_c 41.6813
_cell_angle_alpha 90.00
_cell_angle_beta 90.00
_cell_angle_gamma 120.00
loop_
_atom_site_label
_atom_site_fract_x
_atom_site_fract_y
_atom_site_fract_z
Tl1 0.0000 0.0000 0.0000
Tl2 0.0000 0.0000 0.4026
Sn1 0.0000 0.0000 0.1971
```

---

Entry 2:
Density functional theory data (GGA-PBE) for TlSn5 after structural relaxation.

Properties
Density of states at the Fermi level, states/eV per atom: 0.437
Calculated formation energy, meV per atom: 58
Total moment, μB/atom: 0.000
ΔE to the lowest computed polymorph, meV/atom: 21

Cell and atoms, written as CIF:
```
data_TlSn5
_chemical_formula_sum 'Tl1 Sn5'
_symmetry_space_group_name_H-M 'P 1'
_symmetry_Int_Tables_number 1
_symmetry_space_group_name_Hall 'P 1'
_cell_length_a 3.327
_cell_length_b 6.768
_cell_length_c 7.996
_cell_angle_alpha 97.70
_cell_angle_beta 98.27
_cell_angle_gamma 102.87
loop_
_atom_site_label
_atom_site_fract_x
_atom_site_fract_y
_atom_site_fract_z
Tl1 0.000 0.000 0.000
Sn1 0.168 0.675 0.660
Sn2 0.387 0.170 0.651
Sn3 0.505 0.500 0.001
Sn4 0.616 0.830 0.351
Sn5 0.835 0.324 0.341
```

---

Entry 3:
Density functional theory data (GGA-PBE) for Tl7Sn after structural relaxation.

Properties
Density of states at the Fermi level, states/eV per atom: 0.550
Calculated formation energy, meV per atom: 29
Total moment, μB/atom: 0.000
ΔE to the lowest computed polymorph, meV/atom: 16

Cell and atoms, written as CIF:
```
data_Tl7Sn
_chemical_formula_sum 'Tl28 Sn4'
_symmetry_space_group_name_H-M 'F m -3 m'
_symmetry_Int_Tables_number 225
_symmetry_space_group_name_Hall '-F 4 2 3'
_cell_length_a 9.867
_cell_length_b 9.867
_cell_length_c 9.867
_cell_angle_alpha 90.00
_cell_angle_beta 90.00
_cell_angle_gamma 90.00
loop_
_atom_site_label
_atom_site_fract_x
_atom_site_fract_y
_atom_site_fract_z
Tl1 0.000 0.000 0.000
Tl2 0.000 0.250 0.250
Sn1 0.000 0.000 0.500
```

---

Please write out number 2 again, unchanged.
Density functional theory data (GGA-PBE) for TlSn5 after structural relaxation.

Properties
Density of states at the Fermi level, states/eV per atom: 0.437
Calculated formation energy, meV per atom: 58
Total moment, μB/atom: 0.000
ΔE to the lowest computed polymorph, meV/atom: 21

Cell and atoms, written as CIF:
```
data_TlSn5
_chemical_formula_sum 'Tl1 Sn5'
_symmetry_space_group_name_H-M 'P 1'
_symmetry_Int_Tables_number 1
_symmetry_space_group_name_Hall 'P 1'
_cell_length_a 3.327
_cell_length_b 6.768
_cell_length_c 7.996
_cell_angle_alpha 97.70
_cell_angle_beta 98.27
_cell_angle_gamma 102.87
loop_
_atom_site_label
_atom_site_fract_x
_atom_site_fract_y
_atom_site_fract_z
Tl1 0.000 0.000 0.000
Sn1 0.168 0.675 0.660
Sn2 0.387 0.170 0.651
Sn3 0.505 0.500 0.001
Sn4 0.616 0.830 0.351
Sn5 0.835 0.324 0.341
```

---

> Which formula does entry 2 have?

TlSn5